Entry 1:
Density functional theory data (PBE) for a relaxed Sb2IrSe crystal.

Output
Electronic total energy, eV for the cell shown: -42.10
D(E_F), states/eV per cell: 3.14
Raw formation energy, eV per formula unit: -0.5

a b c (Å): 3.8610 5.3295 8.9518
angles (deg): 90.00 90.00 90.00
Closest atoms and distances in Å follow each position.
Space group Amm2 (No. 38)
Inequivalent atoms, fractional coordinates:
Sb (0.0000, 0.0000, 0.0000) (multiplicity 2)  2 Ir 2.65, 2 Se 2.84
Sb (0.5000, 0.0000, 0.2880) (multiplicity 2)  2 Ir 2.67
Ir (0.5000, 0.0000, 0.7972) (multiplicity 2)  2 Se 2.56, 4 Sb 2.65-2.67
Se (0.0000, 0.0000, 0.6090) (multiplicity 2)  2 Ir 2.56, 2 Sb 2.84

---

Entry 2:
Density functional theory data (PBE) for a relaxed DyB3Ir5 crystal.

Output
Electronic total energy, eV for the cell shown: -284.83
Energy of formation from the pure elements, eV/atom: -0.2519
D(E_F), states/eV per cell: 21.24

a b c (Å): 3.3641 9.7586 14.9147
angles (deg): 90.00 90.00 90.00
Closest atoms and distances in Å follow each position.
Space group Cmcm (No. 63)
Inequivalent atoms, fractional coordinates:
Dy (0.0000, 0.2013, 0.2500) (multiplicity 4)  1 B 2.50
B (0.0000, 0.0545, 0.7500) (multiplicity 4)  4 Ir 2.17
B (0.0000, 0.3623, 0.0394) (multiplicity 8)  6 Ir 2.11-2.23
Ir (0.0000, 0.0000, 0.0000) (multiplicity 4)  4 B 2.23
Ir (0.0000, 0.2548, 0.5851) (multiplicity 8)  3 B 2.13-2.14
Ir (0.0000, 0.4761, 0.1598) (multiplicity 8)  3 B 2.11-2.17

---

Entry 3:
Density functional theory data (PBE) for a relaxed Ca2Ac15Y2 crystal.

Output
Electronic total energy, eV for the cell shown: -220.88
Energy of formation from the pure elements, eV/atom: 0.2596
D(E_F), states/eV per cell: 87.67

a b c (Å): 12.6245 12.6245 19.2026
angles (deg): 90.00 90.00 120.00
Closest atoms and distances in Å follow each position.
Space group R-3m (No. 166, hexagonal axes)
Inequivalent atoms, fractional coordinates:
Ca (0.0000, 0.0000, 0.1759) (multiplicity 6)  1 Y 4.45, 15 Ac 4.47-4.74
Ac (0.0000, 0.2933, 0.5000) (multiplicity 18)  8 Ac 3.70-4.12, 2 Y 4.10
Ac (0.0000, 0.5000, 0.0000) (multiplicity 9)  8 Ac 3.68-3.72, 2 Y 3.91
Ac (0.0014, 0.5007, 0.6430) (multiplicity 18)  6 Ac 3.68-3.79, 1 Y 4.12
Y (0.0000, 0.0000, 0.4077) (multiplicity 6)  1 Y 3.55, 3 Ac 3.91

---

Entry 4:
Density functional theory data (PBE) for a relaxed AcErMg4 crystal.

Output
Electronic total energy, eV for the cell shown: -62.07
Energy of formation from the pure elements, eV/atom: -0.0779
D(E_F), states/eV per cell: 21.15

a b c (Å): 8.7423 8.7423 8.7423
angles (deg): 90.00 90.00 90.00
Closest atoms and distances in Å follow each position.
Space group F-43m (No. 216)
Inequivalent atoms, fractional coordinates:
Ac (0.0000, 0.0000, 0.0000) (multiplicity 4)  12 Mg 3.63, 4 Er 3.79
Er (0.2500, 0.2500, 0.7500) (multiplicity 4)  12 Mg 3.62, 4 Ac 3.79
Mg (0.1242, 0.1242, 0.3758) (multiplicity 16)  6 Mg 3.07-3.11

---

Entry 5:
Density functional theory data (PBE) for a relaxed AcInBiCl crystal.

Output
Electronic total energy, eV for the cell shown: -64.01
D(E_F), states/eV per cell: 5.40
Raw formation energy, eV per formula unit: -3.4

a b c (Å): 7.9984 7.9984 7.9984
angles (deg): 90.00 90.00 90.00
Closest atoms and distances in Å follow each position.
Space group F-43m (No. 216)
Inequivalent atoms, fractional coordinates:
Ac (0.0000, 0.0000, 0.0000) (multiplicity 4)  4 Cl 3.46, 4 Bi 3.46
In (0.0000, 0.0000, 0.5000) (multiplicity 4)  4 Cl 3.46, 4 Bi 3.46
Bi (0.2500, 0.2500, 0.7500) (multiplicity 4)  4 Ac 3.46, 4 In 3.46
Cl (0.2500, 0.2500, 0.2500) (multiplicity 4)  4 In 3.46, 4 Ac 3.46

---

Entry 6:
Density functional theory data (PBE) for a relaxed PPtSe2 crystal.

Output
Electronic total energy, eV for the cell shown: -18.88
D(E_F), states/eV per cell: 1.28
Raw formation energy, eV per formula unit: -0.5

a b c (Å): 4.6673 3.7228 4.7281
angles (deg): 90.00 114.24 90.00
Closest atoms and distances in Å follow each position.
Space group Pm (No. 6)
Inequivalent atoms, fractional coordinates:
P (0.0000, 0.0000, 0.0000) (multiplicity 1)  2 Pt 2.41, 1 Se 2.45
Pt (0.7852, 0.5000, 0.1744) (multiplicity 1)  2 P 2.41, 4 Se 2.56-2.58
Se (0.2436, 0.5000, 0.7114) (multiplicity 1)  2 Pt 2.56-2.58, 2 P 2.81
Se (0.5445, 0.0000, 0.3880) (multiplicity 1)  1 P 2.45, 2 Pt 2.58

---

Entry 7:
Density functional theory data (PBE) for a relaxed PmZn2Au8 crystal.

Output
Energy above the lowest structure with this stoichiometry, meV per atom: 184
Electronic total energy, eV for the cell shown: -34.98
Energy of formation from the pure elements, eV/atom: -0.1332
D(E_F), states/eV per cell: 4.22

a b c (Å): 5.5679 5.5679 8.2348
angles (deg): 90.00 90.00 90.00
Closest atoms and distances in Å follow each position.
Space group P4/mmm (No. 123)
Inequivalent atoms, fractional coordinates:
Pm (0.0000, 0.0000, 0.0000) (multiplicity 1)  8 Au 3.04
Zn (0.0000, 0.5000, 0.5000) (multiplicity 2)  8 Au 2.69
Au (0.2540, 0.2540, 0.2772) (multiplicity 8)  2 Zn 2.69, 4 Au 2.74-2.83

---

Entry 8:
Density functional theory data (PBE) for a relaxed Ag7Sn2HgSb2 crystal.

Output
Electronic total energy, eV for the cell shown: -70.48
D(E_F), states/eV per cell: 8.96
Raw formation energy, eV per formula unit: 1.3

a b c (Å): 5.7637 5.7444 16.1181
angles (deg): 90.00 98.97 90.00
Closest atoms and distances in Å follow each position.
Space group C2/m (No. 12)
Inequivalent atoms, fractional coordinates:
Ag (0.0000, 0.0000, 0.0000) (multiplicity 2)  4 Hg 2.87-2.88, 8 Ag 3.02-3.03
Ag (0.1872, 0.2499, 0.8594) (multiplicity 8)  6 Ag 2.87-3.03, 2 Sn 2.99-3.02, 2 Hg 3.02-3.03
Ag (0.2286, 0.0000, 0.4620) (multiplicity 4)  1 Sb 2.78, 1 Sn 2.91, 1 Ag 3.07
Sn (0.1297, 0.0000, 0.2795) (multiplicity 4)  5 Ag 2.91-3.02, 4 Sb 3.14-3.22
Hg (0.0000, 0.5000, 0.0000) (multiplicity 2)  12 Ag 2.87-3.03
Sb (0.1736, 0.5000, 0.3635) (multiplicity 4)  1 Ag 2.78